(1)
Na2NpPdS4 PBE relaxed; raw formation energy = -95.0 kJ/mol of atoms; density of states at the Fermi level = 8.97 states/eV/cell; volume = 165.3 Å³ per cell
1.0
6.120 0.000 0.000
0.000 3.986 0.000
-2.231 0.000 6.777
Na Np Pd S
2 1 1 4
Direct
0.000 0.000 0.000 Na
0.500 0.500 0.000 Na
0.000 0.500 0.500 Np
0.500 0.000 0.500 Pd
0.253 0.000 0.719 S
0.258 0.500 0.278 S
0.742 0.500 0.722 S
0.747 0.000 0.281 S

***

(2)
Na3NpPd2S6 PBE relaxed; raw formation energy = -81.0 kJ/mol of atoms; density of states at the Fermi level = 7.81 states/eV/cell; volume = 237.4 Å³ per cell
1.0
3.174 -5.501 0.000
3.174 5.501 0.000
-2.112 0.000 6.799
Na Np Pd S
3 1 2 6
Direct
0.000 0.000 0.000 Na
0.334 0.666 0.000 Na
0.666 0.334 0.000 Na
0.500 0.500 0.500 Np
0.167 0.833 0.500 Pd
0.833 0.167 0.500 Pd
0.086 0.428 0.284 S
0.230 0.230 0.716 S
0.428 0.086 0.284 S
0.572 0.914 0.716 S
0.770 0.770 0.284 S
0.914 0.572 0.716 S

***

(3)
NaNp3Pd2S6 PBE relaxed; raw formation energy = -106.9 kJ/mol of atoms; density of states at the Fermi level = 24.75 states/eV/cell; volume = 231.7 Å³ per cell
1.0
8.194 -2.002 0.000
8.194 2.002 0.000
-0.034 0.000 7.065
Na Np Pd S
1 3 2 6
Direct
0.000 0.000 0.000 Na
0.000 0.000 0.500 Np
0.301 0.301 0.756 Np
0.699 0.699 0.244 Np
0.370 0.370 0.259 Pd
0.630 0.630 0.741 Pd
0.165 0.165 0.513 S
0.168 0.168 0.985 S
0.477 0.477 0.744 S
0.523 0.523 0.256 S
0.832 0.832 0.015 S
0.835 0.835 0.487 S

***

(4)
Na2NpPdSe4 PBE relaxed; raw formation energy = -85.6 kJ/mol of atoms; density of states at the Fermi level = 9.90 states/eV/cell; volume = 189.4 Å³ per cell
1.0
6.435 0.000 0.000
0.000 4.119 0.000
-2.418 0.000 7.145
Na Np Pd Se
2 1 1 4
Direct
0.000 0.000 0.000 Na
0.500 0.500 0.000 Na
0.000 0.500 0.500 Np
0.500 0.000 0.500 Pd
0.255 0.000 0.725 Se
0.270 0.500 0.283 Se
0.730 0.500 0.717 Se
0.745 0.000 0.275 Se